VASP calculation (GGA-PBE) on a geometry-optimized TbMgZnIn structure.

```
TbMgZnIn
1.0
-1.535 -4.787 0.320
3.342 -3.663 0.886
0.028 -2.362 4.449
Tb Mg In Zn
1 1 1 1
Cartesian
0.917 -5.406 2.827
0.000 0.000 0.000
1.376 -8.109 4.241
0.459 -2.703 1.414
```

magnetic moment: 0.000 μB per atom
formation enthalpy at 0 K: -0.312 eV per atom

VASP calculation (GGA-PBE) on a geometry-optimized CeSm2Hg4 structure.

```
CeSm2Hg4
1.0
-4.075 2.139 2.658
-3.136 -0.719 -4.230
-1.847 -6.618 2.494
Hg Sm Ce
4 2 1
Cartesian
-2.926 -5.223 -0.282
-2.058 -2.113 -1.454
-2.527 -0.685 1.990
-3.395 -3.794 3.162
-4.529 -2.599 0.461
0.000 0.000 0.000
-3.606 0.710 -0.786
```

distance to the lowest polymorph of the same formula: 0 meV per atom
magnetic moment: 0.201 μB per atom
formation enthalpy at 0 K: -0.280 eV per atom

VASP calculation (GGA-PBE) on a geometry-optimized Al2AgCI structure.

```
Al2AgCI
1.0
-0.499 -5.609 -0.105
2.558 -0.166 -3.293
4.422 -0.458 3.458
Ag I Al C
1 1 2 1
Cartesian
3.240 -3.117 0.030
0.000 0.000 0.000
2.211 -0.229 1.729
-0.250 -2.804 -0.052
1.279 -0.083 -1.646
```

magnetic moment: 0.000 μB per atom
uncorrected energy: -11.924 eV/cell

VASP calculation (GGA-PBE) on a geometry-optimized MgMn4Pt5 structure.

```
MgMn4Pt5
1.0
2.903 0.000 0.000
0.000 2.903 0.000
0.000 0.000 18.040
Pt Mn Mg
5 4 1
Cartesian
1.452 1.452 1.884
1.452 1.452 9.020
1.452 1.452 5.448
1.452 1.452 16.156
1.452 1.452 12.592
0.000 0.000 10.806
0.000 0.000 14.387
0.000 0.000 7.234
0.000 0.000 3.653
0.000 0.000 0.000
```

magnetic moment: 1.719 μB per atom
formation enthalpy at 0 K: -0.452 eV per atom

VASP calculation (GGA-PBE) on a geometry-optimized YBe2Zn structure.

```
YBe2Zn
1.0
3.857 -0.007 0.001
1.937 3.335 0.001
1.920 1.103 4.971
Be Y Zn
2 1 1
Cartesian
1.921 1.103 4.819
5.783 3.322 4.551
3.857 2.216 2.552
1.931 1.109 0.510
```

magnetic moment: 0.000 μB per atom
formation enthalpy at 0 K: -0.099 eV per atom

VASP calculation (GGA-PBE) on a geometry-optimized NdDy3Y2 structure.

```
NdDy3Y2
1.0
6.961 -1.154 -1.464
-4.117 9.360 -0.390
-2.160 0.710 6.829
Y Dy Nd
4 6 2
Cartesian
-1.398 6.121 1.760
-2.479 6.487 5.176
2.082 2.794 3.215
3.163 2.428 -0.201
2.074 5.560 1.027
-0.311 3.008 0.537
-1.390 3.355 3.949
0.995 5.908 4.438
4.687 -0.682 0.611
-4.003 9.597 4.364
3.609 -0.321 4.026
-2.925 9.237 0.950
```

distance to the lowest polymorph of the same formula: 0 meV per atom
magnetic moment: 0.000 μB per atom
formation enthalpy at 0 K: -0.003 eV per atom